Entry 1:
Ba2GaIrAu: relaxed, GGA-PBE.

a = 6.0446 Å, b = 6.0446 Å, c = 4.7865 Å
α = 90.00°, β = 90.00°, γ = 90.00°
Last column: nearest neighbours and their distance in Å.
Atoms (fractional coordinates):
Ba 0.0000 0.5000 0.0000  2 Ir 3.02
Ba 0.5000 0.0000 0.0000  2 Ir 3.02
Ga 0.0000 0.0000 0.5000  2 Ir 2.39
Ir 0.0000 0.0000 0.0000  2 Ga 2.39
Au 0.5000 0.5000 0.5000  8 Ba 3.86, 4 Ga 4.27

Calculated values
Volume in Å³ per cell: 174.9



Entry 2:
BaLi2GaAu: relaxed, GGA-PBE.

a = 5.1152 Å, b = 5.1152 Å, c = 4.9337 Å
α = 90.00°, β = 90.00°, γ = 90.00°
Last column: nearest neighbours and their distance in Å.
Atoms (fractional coordinates):
Ba 0.0000 0.0000 0.0000  8 Li 3.55, 4 Ga 3.62
Li 0.0000 0.5000 0.5000  2 Au 2.56
Li 0.5000 0.0000 0.5000  2 Au 2.56
Ga 0.5000 0.5000 0.0000  2 Au 2.47
Au 0.5000 0.5000 0.5000  2 Ga 2.47, 4 Li 2.56

Calculated values
Energy above the lowest structure with this stoichiometry in meV per atom: 0.0
Volume in Å³ per cell: 129.1



Entry 3:
Ba3Li2Ga2Au4: relaxed, GGA-PBE.

a = 4.6165 Å, b = 4.6165 Å, c = 16.9918 Å
α = 90.00°, β = 90.00°, γ = 120.00°
Last column: nearest neighbours and their distance in Å.
Atoms (fractional coordinates):
Ba 0.0000 0.0000 0.0000  6 Ga 3.56, 6 Au 3.58
Ba 0.0000 0.0000 0.2748  6 Au 3.40-3.50, 3 Ga 3.52
Ba 0.0000 0.0000 0.7252  6 Au 3.40-3.50, 3 Ga 3.52
Li 0.3333 0.6667 0.5531  4 Au 2.62-2.79
Li 0.6667 0.3333 0.4469  4 Au 2.62-2.79
Ga 0.3333 0.6667 0.1392  3 Au 2.67
Ga 0.6667 0.3333 0.8608  3 Au 2.67
Au 0.3333 0.6667 0.3986  4 Li 2.62-2.79
Au 0.3333 0.6667 0.8591  3 Ga 2.67
Au 0.6667 0.3333 0.1409  3 Ga 2.67
Au 0.6667 0.3333 0.6014  4 Li 2.62-2.79

Calculated values
Volume in Å³ per cell: 313.6



Entry 4:
BaLiGaAu2: relaxed, GGA-PBE.

a = 4.4755 Å, b = 4.4755 Å, c = 11.7935 Å
α = 90.00°, β = 90.00°, γ = 90.00°
Last column: nearest neighbours and their distance in Å.
Atoms (fractional coordinates):
Ba 0.0000 0.0000 0.0000  8 Au 3.49, 4 Li 3.70, 4 Ga 3.70
Ba 0.5000 0.5000 0.5000  8 Au 3.49, 4 Li 3.70, 4 Ga 3.70
Li 0.0000 0.5000 0.2500  4 Au 2.68
Li 0.5000 0.0000 0.7500  4 Au 2.68
Ga 0.0000 0.5000 0.7500  4 Au 2.68
Ga 0.5000 0.0000 0.2500  4 Au 2.68
Au 0.0000 0.0000 0.3748  2 Li 2.68, 2 Ga 2.68, 1 Au 2.95
Au 0.0000 0.0000 0.6252  2 Li 2.68, 2 Ga 2.68, 1 Au 2.95
Au 0.5000 0.5000 0.1252  2 Li 2.68, 2 Ga 2.68, 1 Au 2.95
Au 0.5000 0.5000 0.8748  2 Li 2.68, 2 Ga 2.68, 1 Au 2.95

Calculated values
Energy above the lowest structure with this stoichiometry in meV per atom: 0.0
Volume in Å³ per cell: 236.2



Entry 5:
BaLiGaAu2: relaxed, GGA-PBE.

a = 5.0665 Å, b = 5.0665 Å, c = 4.9746 Å
α = 90.00°, β = 90.00°, γ = 90.00°
Last column: nearest neighbours and their distance in Å.
Atoms (fractional coordinates):
Ba 0.0000 0.0000 0.0000  8 Au 3.55, 4 Li 3.58
Li 0.5000 0.5000 0.0000  2 Ga 2.49
Ga 0.5000 0.5000 0.5000  2 Li 2.49, 4 Au 2.53
Au 0.0000 0.5000 0.5000  2 Ga 2.53
Au 0.5000 0.0000 0.5000  2 Ga 2.53

Calculated values
Energy above the lowest structure with this stoichiometry in meV per atom: 197.8
Volume in Å³ per cell: 127.7



Entry 6:
BaLi2GaAu: relaxed, GGA-PBE.

a = 5.0706 Å, b = 5.0706 Å, c = 5.0083 Å
α = 90.00°, β = 90.00°, γ = 90.00°
Last column: nearest neighbours and their distance in Å.
Atoms (fractional coordinates):
Ba 0.0000 0.0000 0.0000  8 Li 3.56, 4 Au 3.59
Li 0.0000 0.5000 0.5000  2 Ga 2.54
Li 0.5000 0.0000 0.5000  2 Ga 2.54
Ga 0.5000 0.5000 0.5000  2 Au 2.50, 4 Li 2.54
Au 0.5000 0.5000 0.0000  2 Ga 2.50

Calculated values
Energy above the lowest structure with this stoichiometry in meV per atom: 39.8
Volume in Å³ per cell: 128.8



| no. | DFT total energy (eV per atom) |
| --- | --- |
| 1 | -4.1746 |
| 2 | -2.7338 |
| 3 | -3.1480 |
| 4 | -3.2873 |
| 5 | -3.0895 |
| 6 | -2.6940 |